The following is a GGA-PBEsol calculation of LaMn2 after structural relaxation, from the Alexandria database.

Cell lengths 5.4781, 5.4781, 5.4781 Å; angles 143.17, 143.17, 53.08 degrees
Element x y z (fractional)
La (0.0000, 0.0000, 0.0000)
Mn (0.3037, 0.3037, 0.0000)
Mn (0.6963, 0.6963, 0.0000)

Calculated values
The value obtained for the raw total energy is -7.673 eV per atom. The calculation puts the formation energy at 617 meV/atom. The calculated volume is 59 Å³/f.u.

The following is a GGA-PBEsol calculation of DyAl7Fe5 after structural relaxation, from the Alexandria database.

Cell lengths 6.5229, 6.5229, 6.5229 Å; angles 135.38, 98.30, 98.27 degrees
Element x y z (fractional)
Dy (0.0000, 0.0000, 0.0000)
Al (0.2096, 0.5009, 0.7087)
Al (0.2318, 0.7318, 0.5000)
Al (0.3450, 0.3450, 0.0000)
Al (0.3569, 0.0149, 0.3420)
Al (0.6660, 0.6660, 0.0000)
Al (0.6730, 0.0149, 0.6580)
Al (0.7922, 0.5009, 0.2913)
Fe (0.0069, 0.0045, 0.4967)
Fe (0.0069, 0.5102, 0.0024)
Fe (0.5078, 0.0045, 0.9976)
Fe (0.5078, 0.5102, 0.5033)
Fe (0.7711, 0.2711, 0.5000)

Calculated values
The value obtained for the raw total energy is -6.426 eV per atom. The calculation puts the formation energy at -392 meV/atom. The calculated volume is 180 Å³/f.u.

The following is a GGA-PBEsol calculation of TaW after structural relaxation, from the Alexandria database.

Cell lengths 2.7950, 2.7950, 9.0153 Å; angles 90.00, 90.00, 110.08 degrees
Element x y z (fractional)
Ta (0.2500, 0.7500, 0.8695)
Ta (0.7500, 0.2500, 0.1305)
W (0.2500, 0.7500, 0.3803)
W (0.7500, 0.2500, 0.6197)

Calculated values
The value obtained for the raw total energy is -13.227 eV per atom. The calculation puts the formation energy at -47 meV/atom. The calculated volume is 33 Å³/f.u.

The following is a GGA-PBEsol calculation of RbCd2Au2 after structural relaxation, from the Alexandria database.

Cell lengths 6.7741, 6.7741, 6.7741 Å; angles 140.18, 140.18, 57.58 degrees
Element x y z (fractional)
Rb (0.0000, 0.0000, 0.0000)
Cd (0.2500, 0.7500, 0.5000)
Cd (0.7500, 0.2500, 0.5000)
Au (0.3862, 0.3862, 0.0000)
Au (0.6138, 0.6138, 0.0000)

Calculated values
The value obtained for the raw total energy is -2.414 eV per atom. The calculation puts the formation energy at -161 meV/atom. The calculated volume is 126 Å³/f.u. As for the distance to the lowest polymorph of the same formula: 0.000 eV per atom.

The following is a GGA-PBEsol calculation of Rb2NiGeC after structural relaxation, from the Alexandria database.

Cell lengths 6.0125, 6.0125, 4.3923 Å; angles 90.00, 90.00, 90.00 degrees
Element x y z (fractional)
Rb (0.0000, 0.5000, 0.0000)
Rb (0.5000, 0.0000, 0.0000)
Ni (0.0000, 0.0000, 0.0000)
Ge (0.0000, 0.0000, 0.5000)
C (0.5000, 0.5000, 0.5000)

Calculated values
The value obtained for the raw total energy is -3.218 eV per atom. The calculation puts the formation energy at 1340 meV/atom. The calculated volume is 159 Å³/f.u.

The following is a GGA-PBEsol calculation of HPt2S after structural relaxation, from the Alexandria database.

Cell lengths 4.1098, 4.1098, 4.1098 Å; angles 60.00, 60.00, 60.00 degrees
Element x y z (fractional)
H (0.0000, 0.0000, 0.0000)
Pt (0.2500, 0.2500, 0.2500)
Pt (0.7500, 0.7500, 0.7500)
S (0.5000, 0.5000, 0.5000)

Calculated values
The value obtained for the raw total energy is -4.792 eV per atom. The calculated volume is 49 Å³/f.u.

The following is a GGA-PBEsol calculation of K2RbLaHg after structural relaxation, from the Alexandria database.

Cell lengths 6.4310, 6.4310, 6.6203 Å; angles 90.00, 90.00, 90.00 degrees
Element x y z (fractional)
K (0.0000, 0.5000, 0.0000)
K (0.5000, 0.0000, 0.0000)
Rb (0.0000, 0.0000, 0.5000)
La (0.5000, 0.5000, 0.5000)
Hg (0.0000, 0.0000, 0.0000)

Calculated values
The value obtained for the raw total energy is -1.339 eV per atom. The calculation puts the formation energy at 502 meV/atom. The calculated volume is 274 Å³/f.u.

The following is a GGA-PBEsol calculation of CaYO2F after structural relaxation, from the Alexandria database.

Cell lengths 4.3486, 4.3486, 4.2078 Å; angles 90.00, 90.00, 90.00 degrees
Element x y z (fractional)
Ca (0.0000, 0.0000, 0.0000)
Y (0.5000, 0.5000, 0.5000)
O (0.0000, 0.5000, 0.5000)
O (0.5000, 0.0000, 0.5000)
F (0.5000, 0.5000, 0.0000)

Calculated values
For the uncorrected formation energy, the calculation gives -3071 meV per atom. The value obtained for the raw total energy is -7.347 eV per atom. The calculated volume is 80 Å³/f.u.

The following is a GGA-PBEsol calculation of HfNbP after structural relaxation, from the Alexandria database.

Cell lengths 6.8232, 3.4996, 8.2419 Å; angles 90.00, 90.00, 90.00 degrees
Element x y z (fractional)
Hf (0.0331, 0.2500, 0.1678)
Hf (0.4669, 0.7500, 0.6678)
Hf (0.5331, 0.2500, 0.3322)
Hf (0.9669, 0.7500, 0.8322)
Nb (0.1414, 0.2500, 0.5602)
Nb (0.3586, 0.7500, 0.0602)
Nb (0.6414, 0.2500, 0.9398)
Nb (0.8586, 0.7500, 0.4398)
P (0.2376, 0.7500, 0.3557)
P (0.2624, 0.2500, 0.8557)
P (0.7376, 0.7500, 0.1443)
P (0.7624, 0.2500, 0.6443)

Calculated values
The value obtained for the raw total energy is -10.143 eV per atom. The calculation puts the formation energy at -1104 meV/atom. The calculated volume is 49 Å³/f.u.

The following is a GGA-PBEsol calculation of CeNiPt after structural relaxation, from the Alexandria database.

Cell lengths 7.0836, 4.0285, 7.5760 Å; angles 90.00, 90.00, 90.00 degrees
Element x y z (fractional)
Ce (0.0335, 0.2500, 0.2060)
Ce (0.4665, 0.7500, 0.7060)
Ce (0.5335, 0.2500, 0.2940)
Ce (0.9665, 0.7500, 0.7940)
Ni (0.1062, 0.2500, 0.5643)
Ni (0.3938, 0.7500, 0.0643)
Ni (0.6062, 0.2500, 0.9357)
Ni (0.8938, 0.7500, 0.4357)
Pt (0.2442, 0.2500, 0.8941)
Pt (0.2558, 0.7500, 0.3941)
Pt (0.7442, 0.2500, 0.6059)
Pt (0.7558, 0.7500, 0.1059)

Calculated values
The value obtained for the raw total energy is -7.233 eV per atom. The calculation puts the formation energy at -661 meV/atom. The calculated volume is 54 Å³/f.u.

The following is a GGA-PBEsol calculation of La3AgSnS7 after structural relaxation, from the Alexandria database.

Cell lengths 10.3203, 10.3203, 5.9371 Å; angles 90.00, 90.00, 120.00 degrees
Element x y z (fractional)
La (0.1317, 0.3586, 0.0000)
La (0.2270, 0.8683, 0.0000)
La (0.3586, 0.2270, 0.5000)
La (0.6414, 0.7730, 0.0000)
La (0.7730, 0.1317, 0.5000)
La (0.8683, 0.6414, 0.5000)
Ag (0.0000, 0.0000, 0.4442)
Ag (0.0000, 0.0000, 0.9442)
Sn (0.3333, 0.6667, 0.5774)
Sn (0.6667, 0.3333, 0.0774)
S (0.0908, 0.5767, 0.7471)
S (0.1005, 0.2678, 0.4807)
S (0.1673, 0.8995, 0.4807)
S (0.2678, 0.1673, 0.9807)
S (0.3333, 0.6667, 0.1807)
S (0.4233, 0.5141, 0.7471)
S (0.4859, 0.9092, 0.7471)
S (0.5141, 0.0908, 0.2471)
S (0.5767, 0.4859, 0.2471)
S (0.6667, 0.3333, 0.6807)
S (0.7322, 0.8327, 0.4807)
S (0.8327, 0.1005, 0.9807)
S (0.8995, 0.7322, 0.9807)
S (0.9092, 0.4233, 0.2471)

Calculated values
For the uncorrected formation energy, the calculation gives -1545 meV per atom. The value obtained for the raw total energy is -6.070 eV per atom. The calculated volume is 274 Å³/f.u.

The following is a GGA-PBEsol calculation of Ta3Au after structural relaxation, from the Alexandria database.

Cell lengths 4.3354, 4.3354, 3.6639 Å; angles 90.00, 90.00, 90.00 degrees
Element x y z (fractional)
Ta (0.0000, 0.0000, 0.0000)
Ta (0.0000, 0.5000, 0.5000)
Ta (0.5000, 0.0000, 0.5000)
Au (0.5000, 0.5000, 0.0000)

Calculated values
The value obtained for the raw total energy is -10.429 eV per atom. The calculation puts the formation energy at -35 meV/atom. The calculated volume is 69 Å³/f.u. As for the distance to the lowest polymorph of the same formula: 0.040 eV per atom.

The following is a GGA-PBEsol calculation of Li4CrFe3O8 after structural relaxation, from the Alexandria database.

Cell lengths 4.8765, 5.6158, 4.9775 Å; angles 90.00, 109.01, 90.00 degrees
Element x y z (fractional)
Li (0.0000, 0.0000, 0.0000)
Li (0.0000, 0.5000, 0.0000)
Li (0.5000, 0.2483, 0.0000)
Li (0.5000, 0.7517, 0.0000)
Cr (0.5000, 0.5000, 0.5000)
Fe (0.0000, 0.2437, 0.5000)
Fe (0.0000, 0.7563, 0.5000)
Fe (0.5000, 0.0000, 0.5000)
O (0.2336, 0.5000, 0.7227)
O (0.2457, 0.0000, 0.7268)
O (0.2559, 0.2454, 0.2747)
O (0.2559, 0.7546, 0.2747)
O (0.7441, 0.2454, 0.7253)
O (0.7441, 0.7546, 0.7253)
O (0.7543, 0.0000, 0.2732)
O (0.7664, 0.5000, 0.2773)

Calculated values
For the uncorrected formation energy, the calculation gives -1705 meV per atom. The value obtained for the raw total energy is -7.142 eV per atom. The calculated volume is 129 Å³/f.u.

The following is a GGA-PBEsol calculation of Tl2WBr after structural relaxation, from the Alexandria database.

Cell lengths 7.5180, 7.5180, 7.5180 Å; angles 157.02, 144.88, 42.39 degrees
Element x y z (fractional)
Tl (0.1844, 0.1844, 0.0000)
Tl (0.8156, 0.8156, 0.0000)
W (0.0000, 0.5000, 0.5000)
Br (0.5000, 0.0000, 0.5000)

Calculated values
For the uncorrected formation energy, the calculation gives 759 meV per atom. The value obtained for the raw total energy is -4.475 eV per atom. The calculated volume is 95 Å³/f.u. As for the distance to the lowest polymorph of the same formula: 0.179 eV per atom.

The following is a GGA-PBEsol calculation of SrCoTe2 after structural relaxation, from the Alexandria database.

Cell lengths 6.4868, 6.4868, 6.4868 Å; angles 106.73, 106.73, 115.10 degrees
Element x y z (fractional)
Sr (0.0000, 0.0000, 0.0000)
Sr (0.7500, 0.2500, 0.5000)
Co (0.2500, 0.7500, 0.5000)
Co (0.5000, 0.5000, 0.0000)
Te (0.2179, 0.6250, 0.0929)
Te (0.3750, 0.4679, 0.5929)
Te (0.5321, 0.1250, 0.9071)
Te (0.8750, 0.7821, 0.4071)

Calculated values
For the uncorrected formation energy, the calculation gives -671 meV per atom. The value obtained for the raw total energy is -4.828 eV per atom. The calculated volume is 104 Å³/f.u.

The following is a GGA-PBEsol calculation of Zn24In5 after structural relaxation, from the Alexandria database.

Cell lengths 8.4729, 8.4729, 8.4729 Å; angles 109.47, 109.47, 109.47 degrees
Element x y z (fractional)
Zn (0.0000, 0.1908, 0.3889)
Zn (0.0000, 0.3889, 0.1908)
Zn (0.0000, 0.4150, 0.6760)
Zn (0.0000, 0.6760, 0.4150)
Zn (0.1908, 0.0000, 0.3889)
Zn (0.1908, 0.3889, 0.0000)
Zn (0.1981, 0.8092, 0.8092)
Zn (0.2609, 0.5850, 0.5850)
Zn (0.3240, 0.3240, 0.7391)
Zn (0.3240, 0.7391, 0.3240)
Zn (0.3889, 0.0000, 0.1908)
Zn (0.3889, 0.1908, 0.0000)
Zn (0.4150, 0.0000, 0.6760)
Zn (0.4150, 0.6760, 0.0000)
Zn (0.5850, 0.2609, 0.5850)
Zn (0.5850, 0.5850, 0.2609)
Zn (0.6111, 0.6111, 0.8019)
Zn (0.6111, 0.8019, 0.6111)
Zn (0.6760, 0.0000, 0.4150)
Zn (0.6760, 0.4150, 0.0000)
Zn (0.7391, 0.3240, 0.3240)
Zn (0.8019, 0.6111, 0.6111)
Zn (0.8092, 0.1981, 0.8092)
Zn (0.8092, 0.8092, 0.1981)
In (0.0000, 0.0000, 0.0000)
In (0.0000, 0.0000, 0.6368)
In (0.0000, 0.6368, 0.0000)
In (0.3632, 0.3632, 0.3632)
In (0.6368, 0.0000, 0.0000)

Calculated values
The value obtained for the raw total energy is -1.744 eV per atom. The calculation puts the formation energy at 80 meV/atom. The calculated volume is 468 Å³/f.u.

The following is a GGA-PBEsol calculation of FeAsC3 after structural relaxation, from the Alexandria database.

Cell lengths 3.8404, 3.8404, 3.8404 Å; angles 90.00, 90.00, 90.00 degrees
Element x y z (fractional)
Fe (0.0000, 0.0000, 0.0000)
As (0.5000, 0.5000, 0.5000)
C (0.0000, 0.5000, 0.5000)
C (0.5000, 0.0000, 0.5000)
C (0.5000, 0.5000, 0.0000)

Calculated values
The value obtained for the raw total energy is -5.843 eV per atom. The calculation puts the formation energy at 2757 meV/atom. The calculated volume is 57 Å³/f.u. As for the distance to the lowest polymorph of the same formula: 0.743 eV per atom.

The following is a GGA-PBEsol calculation of Mg2ZrSe after structural relaxation, from the Alexandria database.

Cell lengths 9.1427, 9.1427, 9.1427 Å; angles 21.13, 21.13, 21.13 degrees
Element x y z (fractional)
Mg (0.2351, 0.2351, 0.2351)
Mg (0.7649, 0.7649, 0.7649)
Zr (0.0000, 0.0000, 0.0000)
Se (0.5000, 0.5000, 0.5000)

Calculated values
For the uncorrected formation energy, the calculation gives -234 meV per atom. The value obtained for the raw total energy is -4.328 eV per atom. The calculated volume is 87 Å³/f.u.

The following is a GGA-PBEsol calculation of CsZn2HgI after structural relaxation, from the Alexandria database.

Cell lengths 7.0351, 7.0351, 6.9824 Å; angles 90.00, 90.00, 90.00 degrees
Element x y z (fractional)
Cs (0.0000, 0.0000, 0.0000)
Zn (0.0000, 0.5000, 0.5000)
Zn (0.5000, 0.0000, 0.5000)
Hg (0.5000, 0.5000, 0.0000)
I (0.0000, 0.0000, 0.5000)

Calculated values
For the uncorrected formation energy, the calculation gives 226 meV per atom. The value obtained for the raw total energy is -1.062 eV per atom. The calculated volume is 346 Å³/f.u.

The following is a GGA-PBEsol calculation of HgPbAu2 after structural relaxation, from the Alexandria database.

Cell lengths 4.9245, 4.9245, 4.9245 Å; angles 60.00, 60.00, 60.00 degrees
Element x y z (fractional)
Hg (0.0000, 0.0000, 0.0000)
Pb (0.7500, 0.7500, 0.7500)
Au (0.2500, 0.2500, 0.2500)
Au (0.5000, 0.5000, 0.5000)

Calculated values
The value obtained for the raw total energy is -2.994 eV per atom. The calculation puts the formation energy at 109 meV/atom. The calculated volume is 84 Å³/f.u. As for the distance to the lowest polymorph of the same formula: 0.122 eV per atom.